1.
Here is a relaxed structure of CaSc2O from the Alexandria database. Energies are from PBE.

a b c (Å): 6.6748 6.6748 6.6748
angles (deg): 120.00 120.00 90.00
Atoms (fractional coordinates):
Ca 0.0000 0.0000 0.0000
Ca 0.7500 0.2500 0.5000
Sc 0.3716 0.1250 0.7466
Sc 0.3750 0.6284 0.7534
Sc 0.3784 0.6250 0.2534
Sc 0.8750 0.6216 0.2466
O 0.2500 0.7500 0.5000
O 0.5000 0.5000 0.0000

Its space group is I-42d (122). The value obtained for the energy relative to the elements, uncorrected is -1.34 eV per atom. The calculated total energy is -50.0 eV per cell. For the density of states at the Fermi level, the calculation gives 12.16 states/eV per cell.

=====

2.
Here is a relaxed structure of Ca2ScO from the Alexandria database. Energies are from PBE.

a b c (Å): 9.3916 9.3916 9.3916
angles (deg): 20.85 20.85 20.85
Atoms (fractional coordinates):
Ca 0.1154 0.1154 0.1154
Ca 0.8846 0.8846 0.8846
Sc 0.0000 0.0000 0.0000
O 0.5000 0.5000 0.5000

Its space group is R-3m (166). The value obtained for the energy relative to the elements, uncorrected is -1.17 eV per atom. The calculated total energy is -20.0 eV per cell. For the density of states at the Fermi level, the calculation gives 2.89 states/eV per cell.

=====

3.
Here is a relaxed structure of CaScO from the Alexandria database. Energies are from PBE.

a b c (Å): 4.1340 4.1340 8.3774
angles (deg): 90.00 90.00 90.00
Atoms (fractional coordinates):
Ca 0.2500 0.2500 0.1498
Ca 0.7500 0.7500 0.8502
Sc 0.2500 0.7500 0.5000
Sc 0.7500 0.2500 0.5000
O 0.2500 0.2500 0.4313
O 0.7500 0.7500 0.5687

Its space group is P4/nmm (129). The value obtained for the energy relative to the elements, uncorrected is -1.81 eV per atom. The calculated total energy is -37.4 eV per cell. For the density of states at the Fermi level, the calculation gives 4.40 states/eV per cell.

=====

4.
Here is a relaxed structure of CaSc4O6 from the Alexandria database. Energies are from PBE.

a b c (Å): 5.4543 5.4543 15.9810
angles (deg): 90.00 90.00 146.62
Atoms (fractional coordinates):
Ca 0.1533 0.8467 0.7500
Ca 0.8467 0.1533 0.2500
Sc 0.0999 0.9001 0.1347
Sc 0.0999 0.9001 0.3653
Sc 0.3635 0.6365 0.0439
Sc 0.3635 0.6365 0.4561
Sc 0.6365 0.3635 0.5439
Sc 0.6365 0.3635 0.9561
Sc 0.9001 0.0999 0.6347
Sc 0.9001 0.0999 0.8653
O 0.0000 0.0000 0.0000
O 0.0000 0.0000 0.5000
O 0.1840 0.8160 0.2500
O 0.2726 0.7274 0.5854
O 0.2726 0.7274 0.9146
O 0.4631 0.5369 0.1586
O 0.4631 0.5369 0.3414
O 0.5369 0.4631 0.6586
O 0.5369 0.4631 0.8414
O 0.7274 0.2726 0.0854
O 0.7274 0.2726 0.4146
O 0.8160 0.1840 0.7500

Its space group is Cmcm (63). The value obtained for the energy relative to the elements, uncorrected is -3.20 eV per atom. The calculated total energy is -184.5 eV per cell. For the density of states at the Fermi level, the calculation gives 6.36 states/eV per cell.

=====

5.
Here is a relaxed structure of CaSc2O from the Alexandria database. Energies are from PBE.

a b c (Å): 8.8348 8.8348 8.8348
angles (deg): 21.59 21.59 21.59
Atoms (fractional coordinates):
Ca 0.0000 0.0000 0.0000
Sc 0.1212 0.1212 0.1212
Sc 0.8788 0.8788 0.8788
O 0.5000 0.5000 0.5000

Its space group is R-3m (166). The value obtained for the energy relative to the elements, uncorrected is -1.24 eV per atom. The calculated total energy is -24.6 eV per cell. For the density of states at the Fermi level, the calculation gives 1.90 states/eV per cell.

=====

6.
Here is a relaxed structure of CaScSe2O8 from the Alexandria database. Energies are from PBE.

a b c (Å): 5.6316 5.6316 6.7638
angles (deg): 90.00 90.00 120.00
Atoms (fractional coordinates):
Ca 0.0000 0.0000 0.0000
Sc 0.0000 0.0000 0.5000
Se 0.3333 0.6667 0.7767
Se 0.6667 0.3333 0.2233
O 0.1592 0.3184 0.7110
O 0.1592 0.8408 0.7110
O 0.3184 0.1592 0.2890
O 0.3333 0.6667 0.0210
O 0.6667 0.3333 0.9790
O 0.6816 0.8408 0.7110
O 0.8408 0.1592 0.2890
O 0.8408 0.6816 0.2890

Its space group is P-3m1 (164). The value obtained for the energy relative to the elements, uncorrected is -1.58 eV per atom. The calculated total energy is -73.9 eV per cell. For the density of states at the Fermi level, the calculation gives 2.79 states/eV per cell.

=====

7.
Here is a relaxed structure of CaScSi2O6 from the Alexandria database. Energies are from PBE.

a b c (Å): 6.2626 6.2626 6.2626
angles (deg): 49.76 49.76 49.76
Atoms (fractional coordinates):
Ca 0.0000 0.0000 0.0000
Sc 0.5000 0.5000 0.5000
Si 0.2554 0.2554 0.2554
Si 0.7446 0.7446 0.7446
O 0.0726 0.4641 0.7362
O 0.2638 0.9274 0.5359
O 0.4641 0.7362 0.0726
O 0.5359 0.2638 0.9274
O 0.7362 0.0726 0.4641
O 0.9274 0.5359 0.2638

Its space group is R-3 (148). The value obtained for the energy relative to the elements, uncorrected is -2.64 eV per atom. The calculated total energy is -75.3 eV per cell. For the density of states at the Fermi level, the calculation gives 3.66 states/eV per cell.

=====

8.
Here is a relaxed structure of CaSc2SnO from the Alexandria database. Energies are from PBE.

a b c (Å): 4.4993 4.4993 4.7456
angles (deg): 90.00 90.00 90.00
Atoms (fractional coordinates):
Ca 0.0000 0.0000 0.0000
Sc 0.0000 0.5000 0.5000
Sc 0.5000 0.0000 0.5000
Sn 0.5000 0.5000 0.0000
O 0.0000 0.0000 0.5000

Its space group is P4/mmm (123). The value obtained for the energy relative to the elements, uncorrected is -1.46 eV per atom. The calculated total energy is -30.9 eV per cell. For the density of states at the Fermi level, the calculation gives 4.78 states/eV per cell.

=====

9.
Here is a relaxed structure of Ca2ScSnO6 from the Alexandria database. Energies are from PBE.

a b c (Å): 5.6121 5.7900 9.7340
angles (deg): 90.00 125.09 90.00
Atoms (fractional coordinates):
Ca 0.2332 0.0541 0.2495
Ca 0.2332 0.4459 0.7495
Ca 0.7668 0.5541 0.2505
Ca 0.7668 0.9459 0.7505
Sc 0.0000 0.0000 0.5000
Sc 0.0000 0.5000 0.0000
Sn 0.5000 0.0000 0.0000
Sn 0.5000 0.5000 0.5000
O 0.1464 0.2035 0.9432
O 0.1464 0.2965 0.4432
O 0.2411 0.7071 0.9410
O 0.2411 0.7929 0.4410
O 0.3620 0.0423 0.7517
O 0.3620 0.4577 0.2517
O 0.6380 0.5423 0.7483
O 0.6380 0.9577 0.2483
O 0.7589 0.2071 0.5590
O 0.7589 0.2929 0.0590
O 0.8536 0.7035 0.5568
O 0.8536 0.7965 0.0568

Its space group is P2_1/c (14). The value obtained for the energy relative to the elements, uncorrected is -2.53 eV per atom. The calculated total energy is -138.7 eV per cell. For the density of states at the Fermi level, the calculation gives 19.41 states/eV per cell.

=====

10.
Here is a relaxed structure of Ca2Sc2Sn2O from the Alexandria database. Energies are from PBE.

a b c (Å): 8.7877 8.7877 8.7877
angles (deg): 150.55 150.55 42.14
Atoms (fractional coordinates):
Ca 0.1679 0.1679 0.0000
Ca 0.8321 0.8321 0.0000
Sc 0.0000 0.5000 0.5000
Sc 0.5000 0.0000 0.5000
Sn 0.3712 0.3712 0.0000
Sn 0.6288 0.6288 0.0000
O 0.0000 0.0000 0.0000

Its space group is I4/mmm (139). The value obtained for the energy relative to the elements, uncorrected is -1.40 eV per atom. The calculated total energy is -39.5 eV per cell. For the density of states at the Fermi level, the calculation gives 0.84 states/eV per cell.

=====

11.
Here is a relaxed structure of Ca2ScTaO6 from the Alexandria database. Energies are from PBE.

a b c (Å): 5.5353 5.7045 9.6646
angles (deg): 90.00 124.90 90.00
Atoms (fractional coordinates):
Ca 0.2357 0.0499 0.2484
Ca 0.2357 0.4501 0.7484
Ca 0.7643 0.5499 0.2516
Ca 0.7643 0.9501 0.7516
Sc 0.0000 0.0000 0.5000
Sc 0.0000 0.5000 0.0000
Ta 0.5000 0.0000 0.0000
Ta 0.5000 0.5000 0.5000
O 0.1594 0.1969 0.9506
O 0.1594 0.3031 0.4506
O 0.2519 0.7112 0.9460
O 0.2519 0.7888 0.4460
O 0.3552 0.0340 0.7572
O 0.3552 0.4660 0.2572
O 0.6448 0.5340 0.7428
O 0.6448 0.9660 0.2428
O 0.7481 0.2112 0.5540
O 0.7481 0.2888 0.0540
O 0.8406 0.6969 0.5494
O 0.8406 0.8031 0.0494

Its space group is P2_1/c (14). The value obtained for the energy relative to the elements, uncorrected is -3.21 eV per atom. The calculated total energy is -168.1 eV per cell. For the density of states at the Fermi level, the calculation gives 0.00 states/eV per cell.

=====

12.
Here is a relaxed structure of Ca2ScTcO6 from the Alexandria database. Energies are from PBE.

a b c (Å): 5.4959 5.6708 9.5807
angles (deg): 90.00 124.86 90.00
Atoms (fractional coordinates):
Ca 0.2377 0.0525 0.2508
Ca 0.2377 0.4475 0.7508
Ca 0.7623 0.5525 0.2492
Ca 0.7623 0.9475 0.7492
Sc 0.5000 0.0000 0.0000
Sc 0.5000 0.5000 0.5000
Tc 0.0000 0.0000 0.5000
Tc 0.0000 0.5000 0.0000
O 0.1418 0.2118 0.9487
O 0.1418 0.2882 0.4487
O 0.2418 0.6971 0.9516
O 0.2418 0.8029 0.4516
O 0.3360 0.0307 0.7420
O 0.3360 0.4693 0.2420
O 0.6640 0.5307 0.7580
O 0.6640 0.9693 0.2580
O 0.7582 0.1971 0.5484
O 0.7582 0.3029 0.0484
O 0.8582 0.7118 0.5513
O 0.8582 0.7882 0.0513

Its space group is P2_1/c (14). The value obtained for the energy relative to the elements, uncorrected is -2.63 eV per atom. The calculated total energy is -153.4 eV per cell. For the density of states at the Fermi level, the calculation gives 9.24 states/eV per cell.

=====

13.
Here is a relaxed structure of CaScTcO6 from the Alexandria database. Energies are from PBE.

a b c (Å): 5.2930 5.2930 9.9758
angles (deg): 90.00 90.00 120.00
Atoms (fractional coordinates):
Ca 0.0000 0.0000 0.0000
Ca 0.0000 0.0000 0.5000
Sc 0.3333 0.6667 0.2500
Sc 0.6667 0.3333 0.7500
Tc 0.3333 0.6667 0.7500
Tc 0.6667 0.3333 0.2500
O 0.0282 0.3790 0.6424
O 0.0282 0.6492 0.8576
O 0.3508 0.3790 0.8576
O 0.3508 0.9718 0.6424
O 0.3790 0.0282 0.1424
O 0.3790 0.3508 0.3576
O 0.6210 0.6492 0.6424
O 0.6210 0.9718 0.8576
O 0.6492 0.0282 0.3576
O 0.6492 0.6210 0.1424
O 0.9718 0.3508 0.1424
O 0.9718 0.6210 0.3576

Its space group is P-31c (163). The value obtained for the energy relative to the elements, uncorrected is -2.29 eV per atom. The calculated total energy is -138.0 eV per cell.

=====

14.
Here is a relaxed structure of Ca2ScTeO6 from the Alexandria database. Energies are from PBE.

a b c (Å): 5.7427 5.7427 4.2516
angles (deg): 90.00 90.00 90.00
Atoms (fractional coordinates):
Ca 0.0000 0.5000 0.0000
Ca 0.5000 0.0000 0.0000
Sc 0.0000 0.0000 0.5870
Te 0.5000 0.5000 0.6079
O 0.0000 0.0000 0.1269
O 0.2548 0.2548 0.6753
O 0.2548 0.7452 0.6753
O 0.5000 0.5000 0.1361
O 0.7452 0.2548 0.6753
O 0.7452 0.7452 0.6753

Its space group is P4mm (99). The value obtained for the energy relative to the elements, uncorrected is -2.34 eV per atom. The calculated total energy is -66.6 eV per cell. For the density of states at the Fermi level, the calculation gives 0.64 states/eV per cell.

=====

15.
Here is a relaxed structure of CaScTeO6 from the Alexandria database. Energies are from PBE.

a b c (Å): 5.4327 5.4327 9.7808
angles (deg): 90.00 90.00 120.00
Atoms (fractional coordinates):
Ca 0.0000 0.0000 0.0000
Ca 0.0000 0.0000 0.5000
Sc 0.3333 0.6667 0.2500
Sc 0.6667 0.3333 0.7500
Te 0.3333 0.6667 0.7500
Te 0.6667 0.3333 0.2500
O 0.0252 0.3759 0.6405
O 0.0252 0.6493 0.8595
O 0.3507 0.3759 0.8595
O 0.3507 0.9748 0.6405
O 0.3759 0.0252 0.1405
O 0.3759 0.3507 0.3595
O 0.6241 0.6493 0.6405
O 0.6241 0.9748 0.8595
O 0.6493 0.0252 0.3595
O 0.6493 0.6241 0.1405
O 0.9748 0.3507 0.1405
O 0.9748 0.6241 0.3595

Its space group is P-31c (163). The value obtained for the energy relative to the elements, uncorrected is -2.08 eV per atom. The calculated total energy is -119.8 eV per cell. For the density of states at the Fermi level, the calculation gives 8.20 states/eV per cell.

=====

16.
Here is a relaxed structure of CaSc2TiO6 from the Alexandria database. Energies are from PBE.

a b c (Å): 5.7361 5.7361 5.7361
angles (deg): 56.15 56.15 56.15
Atoms (fractional coordinates):
Ca 0.0000 0.0000 0.0000
Sc 0.2200 0.2200 0.2200
Sc 0.7230 0.7230 0.7230
Ti 0.5170 0.5170 0.5170
O 0.1430 0.4418 0.7896
O 0.3613 0.9141 0.5741
O 0.4418 0.7896 0.1430
O 0.5741 0.3613 0.9141
O 0.7896 0.1430 0.4418
O 0.9141 0.5741 0.3613

Its space group is R3 (146). The value obtained for the energy relative to the elements, uncorrected is -3.28 eV per atom. The calculated total energy is -85.1 eV per cell. For the density of states at the Fermi level, the calculation gives 0.00 states/eV per cell.

=====

17.
Here is a relaxed structure of CaSc2TlO from the Alexandria database. Energies are from PBE.

a b c (Å): 4.5147 4.5147 4.7546
angles (deg): 90.00 90.00 90.00
Atoms (fractional coordinates):
Ca 0.0000 0.0000 0.0000
Sc 0.0000 0.5000 0.5000
Sc 0.5000 0.0000 0.5000
Tl 0.5000 0.5000 0.0000
O 0.0000 0.0000 0.5000

Its space group is P4/mmm (123). The value obtained for the energy relative to the elements, uncorrected is -1.35 eV per atom. The calculated total energy is -28.7 eV per cell. For the density of states at the Fermi level, the calculation gives 2.43 states/eV per cell.

=====

18.
Here is a relaxed structure of Ca2ScTlO from the Alexandria database. Energies are from PBE.

a b c (Å): 4.8158 4.8158 4.5734
angles (deg): 90.00 90.00 90.00
Atoms (fractional coordinates):
Ca 0.0000 0.5000 0.0000
Ca 0.5000 0.0000 0.0000
Sc 0.0000 0.0000 0.5000
Tl 0.5000 0.5000 0.5000
O 0.0000 0.0000 0.0000

Its space group is P4/mmm (123). The value obtained for the energy relative to the elements, uncorrected is -1.35 eV per atom. The calculated total energy is -24.4 eV per cell. For the density of states at the Fermi level, the calculation gives 1.70 states/eV per cell.

=====

19.
Here is a relaxed structure of CaScUO6 from the Alexandria database. Energies are from PBE.

a b c (Å): 5.0560 5.0560 10.1080
angles (deg): 90.00 90.00 90.00
Atoms (fractional coordinates):
Ca 0.0000 0.0000 0.0000
Ca 0.5000 0.5000 0.5000
Sc 0.0000 0.0000 0.3319
Sc 0.5000 0.5000 0.8319
U 0.0000 0.0000 0.6633
U 0.5000 0.5000 0.1633
O 0.1778 0.1778 0.5017
O 0.2019 0.2019 0.8106
O 0.2066 0.2066 0.1792
O 0.2934 0.7066 0.6792
O 0.2981 0.7019 0.3106
O 0.3222 0.6778 0.0017
O 0.6778 0.3222 0.0017
O 0.7019 0.2981 0.3106
O 0.7066 0.2934 0.6792
O 0.7934 0.7934 0.1792
O 0.7981 0.7981 0.8106
O 0.8222 0.8222 0.5017

Its space group is P4_2nm (102). The value obtained for the energy relative to the elements, uncorrected is -2.98 eV per atom. The calculated total energy is -152.4 eV per cell. For the density of states at the Fermi level, the calculation gives 14.52 states/eV per cell.